Compound: LiCaZn
Source: Alexandria via LeMat-Bulk
Functional: PBE-GGA
Structure: optimized geometry

Values from the calculation:
Distance to the lowest polymorph of the same formula in meV/atom: 0
VASP energy in eV per atom: -1.89
Total magnetization in μB/cell: 0.00
E_form in eV per atom: -0.161

abc: 5.950 6.237 8.346
angles: 112.26 90.00 90.00
Element x y z (fractional)
Ca1 0.883 0.812 0.128
Ca2 0.617 0.812 0.628
Ca3 0.117 0.188 0.872
Ca4 0.383 0.188 0.372
Zn1 0.376 0.815 0.974
Zn2 0.624 0.185 0.026
Zn3 0.876 0.185 0.526
Zn4 0.124 0.815 0.474
Li1 0.400 0.588 0.198
Li2 0.600 0.412 0.802
Li3 0.100 0.588 0.698
Li4 0.900 0.412 0.302